8
Lattice="-0.613 -2.889 -6.772 6.789 -2.852 0.602 2.083 -5.047 -2.066" Properties=species:S:1:pos:R:3 comment="IrOsAu2 PBE-GGA relaxed" energy_ev_per_atom=-5.54 formation_enthalpy_0k_kj_per_mol_atoms=108 rho_g_cm3=18.1 polymorph_energy_mev_per_atom=886 crystal_system=tetragonal pbc="T T T"
Ir 2.279 -5.403 -5.962
Ir 0.000 0.000 0.000
Au 6.940 -8.798 -6.951
Au 3.904 -5.949 -3.861
Au 4.685 -3.417 -1.013
Au 0.989 -3.412 -4.648
Os 5.980 -5.385 -2.274
Os 3.088 -2.870 -3.085